1.
Here is a relaxed structure of RbAg3Rh from the Alexandria database. Energies are from GGA-PBE.

Output
Symmetry: Pm-3m, No. 221
Distance to the lowest polymorph of the same formula in meV per atom: 0

Unit cell a=5.217 b=5.217 c=5.217 alpha=90.00 beta=90.00 gamma=90.00
Positions (direct):
Rb 0.000 0.000 0.000
Ag 0.000 0.500 0.500
Ag 0.500 0.000 0.500
Ag 0.500 0.500 0.000
Rh 0.500 0.500 0.500

---

2.
Here is a relaxed structure of RbAg2Rh from the Alexandria database. Energies are from GGA-PBE.

Output
Symmetry: I4_1/amd, No. 141
Distance to the lowest polymorph of the same formula in meV per atom: 0

Unit cell a=9.827 b=9.827 c=9.827 alpha=147.86 beta=147.86 gamma=46.10
Positions (direct):
Rb 0.375 0.625 0.750
Rb 0.625 0.375 0.250
Ag 0.000 0.000 0.000
Ag 0.000 0.000 0.500
Ag 0.000 0.500 0.000
Ag 0.500 0.000 0.500
Rh 0.125 0.875 0.250
Rh 0.875 0.125 0.750

---

3.
Here is a relaxed structure of RbAgRh2 from the Alexandria database. Energies are from GGA-PBE.

Output
Symmetry: Fm-3m, No. 225
Distance to the lowest polymorph of the same formula in meV per atom: 274

Unit cell a=4.818 b=4.818 c=4.818 alpha=60.00 beta=60.00 gamma=60.00
Positions (direct):
Rb 0.000 0.000 0.000
Ag 0.500 0.500 0.500
Rh 0.250 0.250 0.250
Rh 0.750 0.750 0.750

---

4.
Here is a relaxed structure of RbAgRu2Rh from the Alexandria database. Energies are from GGA-PBE.

Output
Symmetry: P4/mmm, No. 123

Unit cell a=4.995 b=4.995 c=5.600 alpha=90.00 beta=90.00 gamma=90.00
Positions (direct):
Rb 0.000 0.000 0.000
Ag 0.000 0.000 0.500
Ru 0.000 0.500 0.500
Ru 0.500 0.000 0.500
Rh 0.500 0.500 0.000

---

5.
Here is a relaxed structure of RbAgSn2Rh from the Alexandria database. Energies are from GGA-PBE.

Output
Symmetry: P4/mmm, No. 123
Distance to the lowest polymorph of the same formula in meV per atom: 1030

Unit cell a=5.904 b=5.904 c=5.267 alpha=90.00 beta=90.00 gamma=90.00
Positions (direct):
Rb 0.000 0.000 0.000
Ag 0.000 0.000 0.500
Sn 0.000 0.500 0.000
Sn 0.500 0.000 0.000
Rh 0.500 0.500 0.500

---

6.
Here is a relaxed structure of RbAgSn2Rh from the Alexandria database. Energies are from GGA-PBE.

Output
Symmetry: P4/mmm, No. 123
Distance to the lowest polymorph of the same formula in meV per atom: 0

Unit cell a=5.255 b=5.255 c=5.745 alpha=90.00 beta=90.00 gamma=90.00
Positions (direct):
Rb 0.000 0.000 0.000
Ag 0.000 0.000 0.500
Sn 0.000 0.500 0.500
Sn 0.500 0.000 0.500
Rh 0.500 0.500 0.000

---

Values of energy of formation from the pure elements, in order: 0.54 0.61 1.07 2.29 1.89 0.86, all in eV/atom.
Values of N(E_F), in order: 5.09 11.81 8.56 10.05 8.38 5.02, all in states/eV/cell.
Values of spin magnetization, in order: 0.4 1.6 1.5 6.0 0.0 0.0, all in Bohr magnetons per cell.